YCd2WO6 | Alexandria | GGA+U | relaxed; total moment = 1.00 μB per formula unit; space group = No. 14; total energy = -6.549 eV per atom
1.0
-0.707 2.462 5.059
-5.671 -0.606 -0.497
0.464 -7.348 3.667
Cd O Y W
4 12 2 2
Direct
0.500 0.538 0.753 Cd
0.000 0.038 0.747 Cd
0.000 0.962 0.253 Cd
0.500 0.462 0.247 Cd
0.108 0.435 0.765 O
0.303 0.671 0.056 O
0.697 0.329 0.944 O
0.159 0.206 0.060 O
0.803 0.829 0.556 O
0.392 0.935 0.735 O
0.341 0.706 0.440 O
0.608 0.065 0.265 O
0.841 0.794 0.940 O
0.892 0.565 0.235 O
0.659 0.294 0.560 O
0.197 0.171 0.444 O
0.500 0.000 0.000 Y
0.000 0.500 0.500 Y
0.000 0.500 0.000 W
0.500 0.000 0.500 W